Density functional theory data (GGA-PBE) for a relaxed SrCa4Ga2 crystal.

Computed properties:
Its density of states at the Fermi level is 6.398 states/eV/f.u. Its magnetization is 0.0 Bohr magnetons per cell. The calculation puts the energy relative to the elements at -0.26 eV per atom. The calculation puts the raw total energy at -0.0920 Ha/atom.

CIF file:
```
data_SrCa4Ga2
_cell_length_a 8.494
_cell_length_b 6.815
_cell_length_c 8.911
_cell_angle_alpha 90.00
_cell_angle_beta 111.95
_cell_angle_gamma 90.00
_space_group_name_H-M_alt 'P 1 21/m 1'
_space_group_IT_number 11
_space_group_name_Hall '-P 2yb'
loop_
_atom_site_label
_atom_site_type_symbol
_atom_site_fract_x
_atom_site_fract_y
_atom_site_fract_z
Sr1 Sr 0.005 0.250 0.149
Ca1 Ca 0.239 0.000 0.575
Ca2 Ca 0.340 0.750 0.267
Ca3 Ca 0.388 0.250 0.016
Ga1 Ga 0.030 0.250 0.737
Ga2 Ga 0.422 0.250 0.375
```

***

Density functional theory data (GGA-PBE) for a relaxed Tb12Ho7Th crystal.

Computed properties:
Its density of states at the Fermi level is 26.864 states/eV/f.u. Its magnetization is 0.0 Bohr magnetons per cell. The calculation puts the energy relative to the elements at 0.74 eV per atom. The distance to the lowest polymorph of the same formula is 10.09 eV per formula unit. The calculation puts the raw total energy at -0.1472 Ha/atom.

CIF file:
```
data_Tb12Ho7Th
_cell_length_a 11.283
_cell_length_b 11.283
_cell_length_c 11.283
_cell_angle_alpha 90.00
_cell_angle_beta 90.00
_cell_angle_gamma 90.00
_space_group_name_H-M_alt 'I m -3 m'
_space_group_IT_number 229
_space_group_name_Hall '-I 4 2 3'
loop_
_atom_site_label
_atom_site_type_symbol
_atom_site_fract_x
_atom_site_fract_y
_atom_site_fract_z
Tb1 Tb 0.000 0.246 0.246
Ho1 Ho 0.000 0.000 0.500
Ho2 Ho 0.250 0.250 0.250
Th1 Th 0.000 0.000 0.000
```

***

Density functional theory data (GGA-PBE) for a relaxed Zr3HgC crystal.

Computed properties:
Its density of states at the Fermi level is 3.849 states/eV/f.u. Its magnetization is 0.0 Bohr magnetons per cell. The calculation puts the energy relative to the elements at -0.44 eV per atom. The distance to the lowest polymorph of the same formula is 0.30 eV per formula unit. The calculation puts the raw total energy at -0.2748 Ha/atom.

CIF file:
```
data_Zr3HgC
_cell_length_a 6.590
_cell_length_b 3.368
_cell_length_c 9.295
_cell_angle_alpha 90.00
_cell_angle_beta 110.62
_cell_angle_gamma 90.00
_space_group_name_H-M_alt 'P 1 21/m 1'
_space_group_IT_number 11
_space_group_name_Hall '-P 2yb'
loop_
_atom_site_label
_atom_site_type_symbol
_atom_site_fract_x
_atom_site_fract_y
_atom_site_fract_z
Zr1 Zr 0.052 0.250 0.375
Zr2 Zr 0.304 0.250 0.900
Zr3 Zr 0.435 0.750 0.650
Hg1 Hg 0.189 0.750 0.137
C1 C 0.195 0.250 0.638
```

***

> Number 1 is which compound?

SrCa4Ga2